[1]
Compound: LiNiB4
Source: the Open Quantum Materials Database
Functional: PBE
Structure: relaxed

Cell: 2.972 2.972 6.535 Å, 90.00 90.00 120.00°
Fractional coordinates of all 6 atoms:
B: 0.667 0.333 0.274
B: 0.667 0.333 0.726
B: 0.333 0.667 0.274
B: 0.333 0.667 0.726
Ni: 0.000 0.000 0.500
Li: 0.000 0.000 0.000

Values from the calculation:
Space-group type: P6/mmm, No. 191
Energy above the most stable polymorph in this dataset: 0.000 eV per formula unit

***

[2]
Compound: LiNiB
Source: the Open Quantum Materials Database
Functional: PBE
Structure: relaxed

Cell: 3.912 3.912 4.577 Å, 105.24 105.24 77.92°
Fractional coordinates of all 6 atoms:
Li: 0.360 0.862 0.805
Li: 0.862 0.360 0.805
B: 0.152 0.803 0.282
B: 0.803 0.152 0.282
Ni: 0.686 0.686 0.317
Ni: 0.288 0.288 0.320

Values from the calculation:
Space-group type: Cm, No. 8
E: -5.010 eV per atom

***

What is the formula in the first record?
LiNiB4

***

Copy entry 2 word for word.
Compound: LiNiB
Source: the Open Quantum Materials Database
Functional: PBE
Structure: relaxed

Cell: 3.912 3.912 4.577 Å, 105.24 105.24 77.92°
Fractional coordinates of all 6 atoms:
Li: 0.360 0.862 0.805
Li: 0.862 0.360 0.805
B: 0.152 0.803 0.282
B: 0.803 0.152 0.282
Ni: 0.686 0.686 0.317
Ni: 0.288 0.288 0.320

Values from the calculation:
Space-group type: Cm, No. 8
E: -5.010 eV per atom

***

Please write out number 2 again, unchanged.
Compound: LiNiB
Source: the Open Quantum Materials Database
Functional: PBE
Structure: relaxed

Cell: 3.912 3.912 4.577 Å, 105.24 105.24 77.92°
Fractional coordinates of all 6 atoms:
Li: 0.360 0.862 0.805
Li: 0.862 0.360 0.805
B: 0.152 0.803 0.282
B: 0.803 0.152 0.282
Ni: 0.686 0.686 0.317
Ni: 0.288 0.288 0.320

Values from the calculation:
Space-group type: Cm, No. 8
E: -5.010 eV per atom